[1]
Computed, not measured: crystalline Nd2Pd5Au at its relaxed geometry at the PBE level of DFT.

Calculated values
**Crystal system**: tetragonal
**Spin magnetization**: 0.000 μB per atom
**ρ**: 11274 kg/m³
**Energy relative to the elements**: -0.7887 eV/atom

Unit cell a=6.031 b=6.031 c=8.241 alpha=90.00 beta=90.00 gamma=90.00
Space group I4/mmm (No. 139)
One atom of each set of equivalent atoms:
1 Nd 0.000 0.500 0.000
2 Pd 0.000 0.000 0.000
3 Pd 0.250 0.250 0.250
4 Au 0.000 0.000 0.500

[2]
Computed, not measured: crystalline Li2TlCoN at its relaxed geometry at the PBE level of DFT.

Calculated values
**Crystal system**: tetragonal
**E_tot**: -4.573 eV/atom
**Spin magnetization**: 0.000 μB per atom
**ρ**: 7219 kg/m³

Unit cell a=4.361 b=4.361 c=3.522 alpha=90.00 beta=90.00 gamma=90.00
Space group P4/mmm (No. 123)
One atom of each set of equivalent atoms:
1 Li 0.000 0.500 0.000
2 Tl 0.000 0.000 0.500
3 Co 0.500 0.500 0.500
4 N 0.500 0.500 0.000

[3]
Computed, not measured: crystalline ErLuAg4 at its relaxed geometry at the PBE level of DFT.

Calculated values
**Crystal system**: tetragonal
**Spin magnetization**: 0.000 μB per atom
**ρ**: 10354 kg/m³
**Energy relative to the elements**: -0.3444 eV/atom

Unit cell a=3.679 b=3.679 c=9.170 alpha=90.00 beta=90.00 gamma=90.00
Space group P4/mmm (No. 123)
One atom of each set of equivalent atoms:
1 Er 0.000 0.000 0.000
2 Lu 0.500 0.500 0.500
3 Ag 0.000 0.000 0.331
4 Ag 0.500 0.500 0.170